First-principles (PBE-GGA) data for a relaxed Cu5Au4 crystal, as listed in Alexandria.

## Properties
* energy of formation: 0.034 eV per atom
* energy relative to the lowest polymorph listed for this composition: 64 kJ/mol of formula units
* symmetry: P6_3/mcm (193)

Cell: 7.698 7.698 5.294 Å, 90.00 90.00 120.00°
Element x y z (fractional)
Cu: 0.000 0.317 0.250
Cu: 0.000 0.683 0.750
Cu: 0.317 0.000 0.250
Cu: 0.317 0.317 0.750
Cu: 0.333 0.667 0.000
Cu: 0.333 0.667 0.500
Cu: 0.667 0.333 0.000
Cu: 0.667 0.333 0.500
Cu: 0.683 0.000 0.750
Cu: 0.683 0.683 0.250
Au: 0.000 0.000 0.000
Au: 0.000 0.000 0.500
Au: 0.000 0.357 0.750
Au: 0.000 0.643 0.250
Au: 0.357 0.000 0.750
Au: 0.357 0.357 0.250
Au: 0.643 0.000 0.250
Au: 0.643 0.643 0.750